Record 1
The following is a GGA-PBE calculation of an optimized crystal structure of AlCu2Sn, from the Open Quantum Materials Database.

Cell lengths 6.3766, 6.3766, 6.3766 Å; angles 90.00, 90.00, 90.00 degrees
Last column: nearest neighbours and their distance in Å.
Fractional positions:
Cu  0.2776  0.2776  0.7224  4 Al 2.46-2.67
Cu  0.7224  0.2776  0.7224  4 Al 2.46-2.67
Cu  0.2776  0.7224  0.7224  4 Al 2.46-2.67
Al  0.5000  0.5000  0.0000  8 Cu 2.67
Al  0.0000  0.5000  0.5000  8 Cu 2.67
Cu  0.7224  0.7224  0.2776  4 Al 2.46-2.67
Al  0.5000  0.0000  0.5000  8 Cu 2.67
Cu  0.7224  0.2776  0.2776  4 Al 2.46-2.67
Sn  0.0000  0.0000  0.5000  8 Cu 2.88, 4 Al 3.19, 2 Sn 3.19
Cu  0.2776  0.7224  0.2776  4 Al 2.46-2.67
Al  0.5000  0.5000  0.5000  8 Cu 2.46
Cu  0.2776  0.2776  0.2776  4 Al 2.46-2.67
Sn  0.5000  0.0000  0.0000  8 Cu 2.88, 4 Al 3.19, 2 Sn 3.19
Sn  0.0000  0.5000  0.0000  8 Cu 2.88, 4 Al 3.19, 2 Sn 3.19
Sn  0.0000  0.0000  0.0000  8 Cu 3.07, 6 Sn 3.19
Cu  0.7224  0.7224  0.7224  4 Al 2.46-2.67

Summary:
- V (A^3/atom) = 16.205
- space-group type = No. 221

Record 2
The following is a GGA-PBE calculation of an optimized crystal structure of TbTm2Al3CuSn2, from the Open Quantum Materials Database.

Cell lengths 4.2545, 7.2720, 7.2720 Å; angles 120.31, 90.00, 90.00 degrees
Last column: nearest neighbours and their distance in Å.
Fractional positions:
Tm  0.0000  0.3859  0.9986  1 Cu 2.79, 4 Sn 3.08-3.09
Al  0.5000  0.2246  0.2246  2 Cu 2.66, 2 Al 2.81, 2 Sn 2.91
Al  0.5000  0.7775  0.9999  2 Cu 2.68, 2 Al 2.81, 2 Sn 2.89-2.91
Al  0.5000  0.9999  0.7775  2 Cu 2.68, 2 Al 2.81, 2 Sn 2.89-2.91
Cu  0.0000  0.0050  0.0050  6 Al 2.66-2.68, 2 Tm 2.79, 1 Tb 2.85
Tb  0.0000  0.6111  0.6111  1 Cu 2.85, 4 Sn 3.12
Tm  0.0000  0.9986  0.3859  1 Cu 2.79, 4 Sn 3.08-3.09
Sn  0.5000  0.3300  0.6673  3 Al 2.89-2.91, 4 Tm 3.08-3.09, 2 Tb 3.12
Sn  0.5000  0.6673  0.3300  3 Al 2.89-2.91, 4 Tm 3.08-3.09, 2 Tb 3.12

Summary:
- magnetic moment (μB/f.u.) = 0.001
- V (A^3/atom) = 21.581
- space-group type = No. 38

Record 3
The following is a GGA-PBE calculation of an optimized crystal structure of Tb2YAl3CuSn2, from the Open Quantum Materials Database.

Cell lengths 4.2930, 7.3108, 7.3108 Å; angles 119.94, 90.00, 90.00 degrees
Last column: nearest neighbours and their distance in Å.
Fractional positions:
Tb  0.0000  0.6128  0.0000  1 Cu 2.83, 4 Sn 3.12
Al  0.5000  0.2230  0.9998  2 Cu 2.70, 2 Al 2.82, 2 Sn 2.93
Sn  0.5000  0.3336  0.6664  3 Al 2.93, 2 Y 3.12, 4 Tb 3.12
Y  0.0000  0.3870  0.3870  1 Cu 2.83, 4 Sn 3.12
Cu  0.0000  0.0000  0.0000  6 Al 2.69-2.70, 2 Tb 2.83, 1 Y 2.83
Tb  0.0000  0.0000  0.6128  1 Cu 2.83, 4 Sn 3.12
Al  0.5000  0.7776  0.7776  2 Cu 2.69, 2 Al 2.82, 2 Sn 2.93
Sn  0.5000  0.6664  0.3336  3 Al 2.93, 2 Y 3.12, 4 Tb 3.12
Al  0.5000  0.9998  0.2230  2 Cu 2.70, 2 Al 2.82, 2 Sn 2.93

Summary:
- magnetic moment (μB/f.u.) = 0.002
- V (A^3/atom) = 22.092
- space-group type = No. 38

Record 4
The following is a GGA-PBE calculation of an optimized crystal structure of YTm2Al3CuSn2, from the Open Quantum Materials Database.

Cell lengths 4.2451, 7.2736, 7.2736 Å; angles 120.25, 90.00, 90.00 degrees
Last column: nearest neighbours and their distance in Å.
Fractional positions:
Tm  0.0000  0.3854  0.9988  1 Cu 2.79, 4 Sn 3.08-3.09
Y  0.0000  0.6116  0.6116  1 Cu 2.85, 4 Sn 3.11
Al  0.5000  0.0000  0.7771  2 Cu 2.68, 2 Al 2.81, 2 Sn 2.89-2.91
Sn  0.5000  0.6671  0.3303  3 Al 2.89-2.91, 4 Tm 3.08-3.09, 2 Y 3.11
Cu  0.0000  0.0050  0.0050  6 Al 2.65-2.68, 2 Tm 2.79, 1 Y 2.85
Al  0.5000  0.7771  0.0000  2 Cu 2.68, 2 Al 2.81, 2 Sn 2.89-2.91
Tm  0.0000  0.9988  0.3854  1 Cu 2.79, 4 Sn 3.08-3.09
Al  0.5000  0.2246  0.2246  2 Cu 2.65, 2 Al 2.81, 2 Sn 2.91
Sn  0.5000  0.3303  0.6671  3 Al 2.89-2.91, 4 Tm 3.08-3.09, 2 Y 3.11

Summary:
- magnetic moment (μB/f.u.) = 0.006
- V (A^3/atom) = 21.557
- space-group type = No. 38

Record 5
The following is a GGA-PBE calculation of an optimized crystal structure of Sr2AlCu, from the Open Quantum Materials Database.

Cell lengths 5.1777, 5.1777, 5.1777 Å; angles 60.00, 60.00, 60.00 degrees
Last column: nearest neighbours and their distance in Å.
Fractional positions:
Sr  0.7500  0.7500  0.7500  4 Sr 3.17, 4 Cu 3.17
Al  0.2500  0.2500  0.2500  4 Sr 3.17, 4 Cu 3.17
Cu  0.0000  0.0000  0.0000  4 Al 3.17, 4 Sr 3.17
Sr  0.5000  0.5000  0.5000  4 Al 3.17, 4 Sr 3.17

Summary:
- V (A^3/atom) = 24.537
- space-group type = No. 216

Record 6
The following is a GGA-PBE calculation of an optimized crystal structure of SrAlCu, from the Open Quantum Materials Database.

Cell lengths 5.0133, 5.0133, 5.0133 Å; angles 60.00, 60.00, 60.00 degrees
Last column: nearest neighbours and their distance in Å.
Fractional positions:
Al  0.2500  0.2500  0.2500  4 Sr 3.07
Sr  0.0000  0.0000  0.0000  4 Al 3.07, 4 Cu 3.07
Cu  0.7500  0.7500  0.7500  4 Sr 3.07

Summary:
- V (A^3/atom) = 29.699
- space-group type = No. 216

It is found that the raw total energy values, taken in the order of the records, are -3.72; -4.59; -4.86; -4.80; -2.57; -2.35 eV per atom.